Entry from the Alexandria database: a relaxed Nd4Sm2As3N2 crystal (PBE).

Summary:
- E_tot (eV/atom) = -6.577
- calculated volume (A^3/atom) = 24.7

Cell lengths 4.7015, 4.7015, 24.5775 Å; angles 90.00, 90.00, 90.00 degrees
Closest atoms and distances in Å follow each position.
Space group I4/mmm (No. 139)
Symmetry-distinct sites (fractional):
Nd: 0.0000 0.5000 0.0805  2 N 2.43
Sm: 0.0000 0.0000 0.1973  1 N 2.25
As: 0.0000 0.0000 0.3221  5 Sm 3.07-3.36, 4 Nd 3.36
As: 0.0000 0.0000 0.5000  8 Nd 3.07
N: 0.0000 0.0000 0.1058  1 Sm 2.25, 4 Nd 2.43